The following is a DFT calculation (GGA-PBEsol) of an optimized crystal structure of V3PC.

Unit cell a=3.087 b=9.541 c=7.463 alpha=90.00 beta=90.00 gamma=90.00
Space group Cmcm (No. 63)
One atom of each set of equivalent atoms:
V1 0.000 0.065 0.250 x4
V2 0.000 0.365 0.054 x8
P1 0.000 0.252 0.750 x4
C1 0.000 0.000 0.000 x4

Values from the calculation:
DOS(E_F) = 0.7055 states/eV per atom
Total magnetization = 0.00 μB per cell
DFT formation energy = -4.0 eV per formula unit
Density = 5.9 g cm⁻³